Record 1
Computed, not measured: a geometry-optimized CrCd2In structure at the PBE level of DFT.

Summary:
space-group type = C2/m (12)
D(E_F) = 2.17 states/eV per cell
total energy = -12.98 eV/cell
total magnetic moment = 3.85 μB per formula unit
formation energy = 0.303 eV/atom

Geometry as POSCAR:
```
CrCd2In
1.0
-2.939 -5.314 -0.605
5.002 -0.400 1.084
-0.725 -0.870 2.928
Cd In Cr
2 1 1
Direct
0.000 0.500 0.500
0.000 0.000 0.000
0.500 0.000 0.500
0.500 0.500 0.000
```

---

Record 2
Computed, not measured: a geometry-optimized CrCd2In structure at the PBE level of DFT.

Summary:
space-group type = P4/mmm (123)
D(E_F) = 1.78 states/eV per cell
total energy = -13.24 eV/cell
total magnetic moment = 3.69 μB per formula unit
formation energy = 0.239 eV/atom

Geometry as POSCAR:
```
CrCd2In
1.0
-0.012 -4.153 -1.144
4.143 0.302 -1.140
1.209 -1.131 4.095
Cd In Cr
2 1 1
Direct
0.500 0.500 0.000
0.000 0.000 0.000
0.000 0.500 0.500
0.500 0.000 0.500
```

---

> Which value of D(E_F) does entry 1 give?

2.17 states/eV per cell